1.
Pr2Nd4H2Pb3: relaxed, GGA-PBE.

raw total energy: -4.6740 eV per atom
Fermi-level density of states: 1.0279 states/eV per atom

abc: 4.8541 4.8541 13.6119
angles: 100.27 100.27 90.00
With the nearest neighbours (Å) after each atom.
Element x y z (fractional)
Pr (0.3006, 0.3006, 0.6012)  1 H 2.53
Pr (0.6994, 0.6994, 0.3988)  1 H 2.53
Nd (0.4170, 0.9170, 0.8339)  2 H 2.49
Nd (0.9170, 0.4170, 0.8339)  2 H 2.49
Nd (0.0830, 0.5830, 0.1661)  2 H 2.49
Nd (0.5830, 0.0830, 0.1661)  2 H 2.49
H (0.3965, 0.3965, 0.7931)  4 Nd 2.49, 1 Pr 2.53
H (0.6035, 0.6035, 0.2069)  4 Nd 2.49, 1 Pr 2.53
Pb (0.0000, 0.0000, 0.0000)  8 Nd 3.27
Pb (0.1749, 0.1749, 0.3499)  5 Pr 3.31-3.49, 4 Nd 3.43
Pb (0.8251, 0.8251, 0.6501)  5 Pr 3.31-3.49, 4 Nd 3.43

2.
LaCdCu: relaxed, GGA-PBE.

raw total energy: -3.5877 eV per atom
Fermi-level density of states: 0.6795 states/eV per atom

abc: 4.0202 7.8072 13.7062
angles: 90.00 90.00 90.00
With the nearest neighbours (Å) after each atom.
Element x y z (fractional)
La (0.0000, 0.2416, 0.9559)  5 Cu 3.10-3.25, 4 Cd 3.40-3.47
La (0.0000, 0.7584, 0.0441)  5 Cu 3.10-3.25, 4 Cd 3.40-3.47
La (0.0000, 0.2416, 0.5441)  5 Cu 3.10-3.25, 4 Cd 3.40-3.47
La (0.0000, 0.7584, 0.4559)  5 Cu 3.10-3.25, 4 Cd 3.40-3.47
La (0.0000, 0.1399, 0.2500)  5 Cu 3.06-3.21, 2 Cd 3.36
La (0.0000, 0.8601, 0.7500)  5 Cu 3.06-3.21, 2 Cd 3.36
Cd (0.5000, 0.4264, 0.1257)  3 Cu 2.81-2.97
Cd (0.5000, 0.5736, 0.8743)  3 Cu 2.81-2.97
Cd (0.5000, 0.4264, 0.3743)  3 Cu 2.81-2.97
Cd (0.5000, 0.5736, 0.6257)  3 Cu 2.81-2.97
Cd (0.5000, 0.7953, 0.2500)  4 Cu 2.77-2.97
Cd (0.5000, 0.2047, 0.7500)  4 Cu 2.77-2.97
Cu (0.5000, 0.0508, 0.0895)  1 Cu 2.58
Cu (0.5000, 0.9492, 0.9105)  1 Cu 2.58
Cu (0.5000, 0.0508, 0.4105)  1 Cu 2.58
Cu (0.5000, 0.9492, 0.5895)  1 Cu 2.58
Cu (0.0000, 0.5515, 0.2500)  6 Cd 2.77-2.81
Cu (0.0000, 0.4485, 0.7500)  6 Cd 2.77-2.81

3.
V2AgBBr: relaxed, GGA-PBE.

raw total energy: -4.9617 eV per atom
Fermi-level density of states: 1.0139 states/eV per atom
uncorrected formation energy: 0.93 eV per atom

abc: 4.2129 4.7791 4.2129
angles: 90.00 90.00 90.00
With the nearest neighbours (Å) after each atom.
Element x y z (fractional)
B (0.0000, 0.0000, 0.0000)  4 V 2.11
Br (0.0000, 0.5000, 0.0000)  2 B 2.39
Ag (0.5000, 0.5000, 0.5000)  4 Br 2.98, 8 V 3.19
V (0.0000, 0.0000, 0.5000)  2 B 2.11
V (0.5000, 0.0000, 0.0000)  2 B 2.11

4.
CrInBiI2: relaxed, GGA-PBE.

raw total energy: -3.1368 eV per atom
Fermi-level density of states: 1.0567 states/eV per atom
uncorrected formation energy: 0.73 eV per atom

abc: 6.0462 5.4904 6.0462
angles: 90.00 90.00 90.00
With the nearest neighbours (Å) after each atom.
Element x y z (fractional)
I (0.0000, 0.0000, 0.5000)  2 In 3.02
I (0.5000, 0.0000, 0.0000)  2 In 3.02
Cr (0.0000, 0.5000, 0.0000)  2 In 2.75
Bi (0.5000, 0.5000, 0.5000)  8 I 4.08, 4 Cr 4.28
In (0.0000, 0.0000, 0.0000)  2 Cr 2.75, 4 I 3.02

Question: Which value of raw total energy does entry 1 give?
Answer: -4.6740 eV per atom

Question: Which value of Fermi-level density of states does entry 2 give?
Answer: 0.6795 states/eV per atom